(1)
The following is a GGA-PBE calculation of a relaxed structure of Tl8Te3Se8, from the Alexandria database.

The structure in extended XYZ format:
```
19
Lattice="-2.4452 -0.8758 6.6797 -2.7156 -8.0261 -1.8816 11.1829 -2.5486 -0.9771" Properties=species:S:1:pos:R:3 pbc="T T T"
Se 2.3473 -1.1570 0.0067
Te 3.1443 -3.6101 0.0093
Te -2.5804 -4.4509 2.3991
Te 2.8779 -7.8404 3.8117
Tl 8.1671 -5.5728 4.5142
Se 7.1142 -9.3788 1.6825
Se 0.3025 -8.3211 2.1235
Tl 5.4156 -6.2008 1.2621
Se 0.9128 -4.8800 -0.4881
Tl -2.1449 -5.8777 -0.6932
Se 3.6749 -10.2935 3.8143
Tl 2.2289 -8.0022 -0.3884
Se 5.1094 -6.5705 4.3091
Tl 3.7933 -3.4483 4.2093
Se -1.0920 -2.0717 2.1385
Se 5.7197 -3.1294 1.6975
Tl -2.2688 -8.9534 2.3001
Tl 0.6066 -5.2497 2.5589
Tl 8.2910 -2.4971 1.5209
```

Calculated values
Magnetic moment ... 0.00 μB per atom
Theoretical density ... 6.7 Mg/m³
Raw formation energy ... -0.21 eV per atom
Raw total energy ... -0.2333 Ry/atom

***

(2)
The following is a GGA-PBE calculation of a relaxed structure of ThScHg2, from the Alexandria database.

The structure in extended XYZ format:
```
4
Lattice="-0.7484 -4.1462 -0.5166 4.6565 -0.9814 1.1310 -1.2242 -0.3673 4.7215" Properties=species:S:1:pos:R:3 pbc="T T T"
Hg -0.6121 -0.1837 2.3607
Sc -0.3742 -2.0731 -0.2583
Th 1.3420 -2.7475 2.6679
Hg 2.3283 -0.4907 0.5655
```

Calculated values
Energy relative to the lowest polymorph listed for this composition ... 111 meV/atom
Magnetic moment ... 0.00 μB per atom
E_form ... -0.218 eV/atom
Theoretical density ... 11.1 Mg/m³
Raw total energy ... -0.2798 Ry/atom

***

(3)
The following is a GGA-PBE calculation of a relaxed structure of Zr7Tl, from the Alexandria database.

The structure in extended XYZ format:
```
8
Lattice="6.3890 0.0000 0.0000 3.1945 5.5330 0.0000 3.1945 1.8443 5.2166" Properties=species:S:1:pos:R:3 pbc="T T T"
Zr 4.7917 0.9222 2.6083
Zr 3.1945 0.0000 0.0000
Zr 3.1945 3.6887 2.6083
Zr 6.3890 3.6887 2.6083
Tl 0.0000 0.0000 0.0000
Zr 1.5972 2.7665 0.0000
Zr 1.5972 0.9222 2.6083
Zr 4.7917 2.7665 0.0000
```

Calculated values
Magnetic moment ... 0.00 μB per atom
E_form ... 0.005 eV/atom
Theoretical density ... 7.6 Mg/m³
Raw total energy ... -0.5711 Ry/atom

***

(4)
The following is a GGA-PBE calculation of a relaxed structure of AcPuPa2N6, from the Alexandria database.

The structure in extended XYZ format:
```
10
Lattice="-3.2886 4.9378 1.3363 -5.6511 0.5693 -2.1732 -4.8015 -0.4942 3.8474" Properties=species:S:1:pos:R:3 pbc="T T T"
Ac -10.1598 3.9465 1.9269
N -6.2282 0.7405 2.3748
N -4.4939 3.1337 1.1309
Pu -3.0966 1.6864 -0.0146
N -6.9868 3.2260 3.4433
N -8.7818 1.7813 1.8351
Pa -4.7174 -0.3866 3.6568
N -7.5740 4.7441 0.6805
N -6.9885 1.6309 -0.8189
Pa -6.7266 2.6906 1.1791
```

Calculated values
Magnetic moment ... 0.30 μB per atom
Theoretical density ... 10.4 Mg/m³
Raw formation energy ... -1.34 eV per atom
Raw total energy ... -0.7408 Ry/atom

***

(5)
The following is a GGA-PBE calculation of a relaxed structure of PrErTmRu, from the Alexandria database.

The structure in extended XYZ format:
```
4
Lattice="-1.3106 3.1493 -0.3237 -3.1069 -1.2121 0.7863 1.5954 1.5589 8.7070" Properties=species:S:1:pos:R:3 pbc="T T T"
Er -1.0122 2.1377 6.7613
Ru 0.9094 0.8886 4.9633
Pr 0.1154 0.1128 0.6298
Tm -1.5828 1.5802 3.6476
```

Calculated values
Magnetic moment ... 0.00 μB per atom
E_form ... -0.279 eV/atom
Theoretical density ... 9.1 Mg/m³
Raw total energy ... -0.4448 Ry/atom